[1]
IrW2Br: optimized geometry, PBE.

Properties
**Raw formation energy**: 881 meV/atom
**SG**: No. 225
**Total magnetic moment**: 0.00 μB/f.u.

Cell: 4.499 4.499 4.499 Å, 60.00 60.00 60.00°
Fractional positions:
W 0.750 0.750 0.750
W 0.250 0.250 0.250
Br 0.000 0.000 0.000
Ir 0.500 0.500 0.500

---

[2]
YZnSb: optimized geometry, PBE.

Properties
**Raw formation energy**: -385 meV/atom
**SG**: No. 107
**Total magnetic moment**: 0.00 μB/f.u.

Cell: 5.851 5.851 5.851 Å, 143.12 143.12 53.15°
Fractional positions:
Y 0.327 0.327 0.000
Sb 0.020 0.020 0.000
Zn 0.653 0.653 0.000

---

[3]
PrAg2F6: optimized geometry, PBE.

Properties
**Raw formation energy**: -2332 meV/atom
**SG**: No. 12
**Total magnetic moment**: 0.72 μB/f.u.

Cell: 4.500 4.587 7.179 Å, 103.04 108.26 90.00°
Fractional positions:
Pr 0.000 0.500 0.000
F 0.810 0.359 0.620
F 0.088 0.078 0.176
F 0.190 0.641 0.380
F 0.417 0.351 0.833
F 0.912 0.922 0.824
F 0.583 0.649 0.167
Ag 0.252 0.198 0.505
Ag 0.748 0.802 0.495